1.
Below is a geometry-optimized MgZn2Pt structure, with properties calculated at the GGA-PBE level.

The calculation puts the uncorrected energy at -12.20 eV/f.u.

The structure belongs to space group I4/mmm (No. 139); the cell edges are 3.8595, 3.8595 and 8.0951 Å and the angles 90.00°, 90.00° and 90.00°. The asymmetric unit holds Mg at (0.0000, 0.0000, 0.0000), Zn at (0.0000, 0.5000, 0.2500) and Pt at (0.0000, 0.0000, 0.5000).

***

2.
Below is a geometry-optimized MgZn2Pt structure, with properties calculated at the GGA-PBE level.

The calculation puts the uncorrected energy at -12.13 eV/f.u.

The structure belongs to space group Pmmn (No. 59, origin choice 2); the cell edges are 4.5153, 5.5648 and 4.8604 Å and the angles 90.00°, 90.00° and 90.00°. The asymmetric unit holds Mg at (0.2500, 0.2500, 0.1399), Zn at (0.2500, 0.5059, 0.6644) and Pt at (0.2500, 0.7500, 0.1840).

***

3.
Below is a geometry-optimized MgZrZnPt structure, with properties calculated at the GGA-PBE level.

For the energy above the most stable polymorph in this dataset, the calculation gives 0 meV/atom. The calculation puts the uncorrected energy at -20.12 eV/f.u.

The structure belongs to space group F-43m (No. 216); the cell edges are 6.5431, 6.5431 and 6.5431 Å and the angles 90.00°, 90.00° and 90.00°. The asymmetric unit holds Mg at (0.0000, 0.0000, 0.0000), Zr at (0.0000, 0.0000, 0.5000), Zn at (0.2500, 0.2500, 0.2500) and Pt at (0.2500, 0.2500, 0.7500).

***

4.
Below is a geometry-optimized MgZrZnPt structure, with properties calculated at the GGA-PBE level.

For the energy above the most stable polymorph in this dataset, the calculation gives 249 meV/atom. The calculation puts the uncorrected energy at -19.12 eV/f.u.

The structure belongs to space group F-43m (No. 216); the cell edges are 6.4620, 6.4620 and 6.4620 Å and the angles 90.00°, 90.00° and 90.00°. The asymmetric unit holds Mg at (0.0000, 0.0000, 0.0000), Zr at (0.2500, 0.2500, 0.7500), Zn at (0.0000, 0.0000, 0.5000) and Pt at (0.2500, 0.2500, 0.2500).

***

5.
Below is a geometry-optimized MgZrZnPt structure, with properties calculated at the GGA-PBE level.

For the energy above the most stable polymorph in this dataset, the calculation gives 100 meV/atom. The calculation puts the uncorrected energy at -19.72 eV/f.u.

The structure belongs to space group F-43m (No. 216); the cell edges are 6.4855, 6.4855 and 6.4855 Å and the angles 90.00°, 90.00° and 90.00°. The asymmetric unit holds Mg at (0.0000, 0.0000, 0.0000), Zr at (0.2500, 0.2500, 0.7500), Zn at (0.2500, 0.2500, 0.2500) and Pt at (0.0000, 0.0000, 0.5000).

***

6.
Below is a geometry-optimized MgZrZn2Pt4 structure, with properties calculated at the GGA-PBE level.

The calculation puts the uncorrected energy at -43.10 eV/f.u.

The structure belongs to space group P4/mmm (No. 123); the cell edges are 4.6893, 4.6893 and 5.8620 Å and the angles 90.00°, 90.00° and 90.00°. The asymmetric unit holds Mg at (0.0000, 0.0000, 0.0000), Zr at (0.5000, 0.5000, 0.5000), Zn at (0.0000, 0.0000, 0.5000), Zn at (0.5000, 0.5000, 0.0000) and Pt at (0.0000, 0.5000, 0.2424).